The following is a PBE calculation of a geometry-optimized BeTe2Cl structure, from the Alexandria database.

## Properties
ΔE_f (raw)   0.32 eV per atom
Excess energy over the best structure of this formula in the dataset   671 meV per atom
Energy   -2.647 eV per atom

a b c (Å): 3.4318 3.4318 29.4203
angles (deg): 90.00 90.00 120.00
Space group R-3m (No. 166, hexagonal axes)
Unique sites:
Be (0.0000, 0.0000, 0.0000) [3 per cell]
Te (0.0000, 0.0000, 0.0792) [6 per cell]
Cl (0.0000, 0.0000, 0.5000) [3 per cell]

The following is a PBE calculation of a geometry-optimized Sc2NiAg structure, from the Alexandria database.

## Properties
Energy relative to the elements   -0.389 eV/atom
Energy   -5.713 eV per atom

a b c (Å): 3.193 3.256 6.982
angles (deg): 90.00 90.13 90.00
Space group P2/m (No. 10)
Unique sites:
Sc (0.000, 0.000, 0.221) [2 per cell]
Ni (0.500, 0.500, 0.000) [1 per cell]
Ag (0.500, 0.500, 0.500) [1 per cell]

The following is a PBE calculation of a geometry-optimized TaCr2Ru2 structure, from the Alexandria database.

## Properties
Excess energy over the best structure of this formula in the dataset   0 meV per atom
Energy relative to the elements   0.093 eV/atom
Energy   -9.838 eV per atom

a b c (Å): 7.097 7.097 2.798
angles (deg): 90.00 90.00 90.00
Space group P4/mbm (No. 127)
Unique sites:
Ta (0.000, 0.000, 0.000) [2 per cell]
Cr (0.132, 0.368, 0.000) [4 per cell]
Ru (0.167, 0.667, 0.500) [4 per cell]

The following is a PBE calculation of a geometry-optimized DyTm2Ir9 structure, from the Alexandria database.

## Properties
Energy relative to the elements   -0.597 eV/atom
Energy   -8.372 eV per atom

a b c (Å): 5.2903 5.2903 26.2560
angles (deg): 90.00 90.00 120.00
Space group R-3m (No. 166, hexagonal axes)
Unique sites:
Dy (0.0000, 0.0000, 0.0000) [3 per cell]
Tm (0.0000, 0.0000, 0.1394) [6 per cell]
Ir (0.0000, 0.0000, 0.3330) [6 per cell]
Ir (0.0000, 0.0000, 0.5000) [3 per cell]
Ir (0.9998, 0.4999, 0.0827) [18 per cell]